(1)
# NdURu2 | Alexandria via LeMat-Bulk | PBE | relaxed
# - Formation energy from the elements: -251.0 meV per atom
# - Total energy: -8.903 eV/atom
data_NdURu2
_chemical_formula_sum 'Nd1 U1 Ru2'
_space_group_name_H-M_alt 'P 1'
_space_group_IT_number 1
_space_group_name_Hall 'P 1'
_cell_length_a 3.362
_cell_length_b 3.362
_cell_length_c 7.310
_cell_angle_alpha 90.00
_cell_angle_beta 90.00
_cell_angle_gamma 90.00
loop_
_atom_site_label
_atom_site_type_symbol
_atom_site_fract_x
_atom_site_fract_y
_atom_site_fract_z
Nd1 Nd 0.500 0.500 0.500
Ru1 Ru 0.000 0.000 0.197
Ru2 Ru 0.000 0.000 0.803
U1 U 0.500 0.500 0.000

(2)
# Nd5URu4 | Alexandria via LeMat-Bulk | PBE | relaxed
# - Formation energy from the elements: -253.9 meV per atom
# - Total energy: -7.477 eV/atom
data_Nd5URu4
_chemical_formula_sum 'Nd5 U1 Ru4'
_space_group_name_H-M_alt 'P 1'
_space_group_IT_number 1
_space_group_name_Hall 'P 1'
_cell_length_a 4.350
_cell_length_b 7.347
_cell_length_c 9.123
_cell_angle_alpha 111.55
_cell_angle_beta 103.79
_cell_angle_gamma 90.00
loop_
_atom_site_label
_atom_site_type_symbol
_atom_site_fract_x
_atom_site_fract_y
_atom_site_fract_z
Ru1 Ru 0.638 0.276 0.275
Ru2 Ru 0.362 0.724 0.725
Ru3 Ru 0.987 0.791 0.974
Ru4 Ru 0.013 0.209 0.026
Nd1 Nd 0.500 0.500 0.000
Nd2 Nd 0.164 0.041 0.328
Nd3 Nd 0.826 0.443 0.652
Nd4 Nd 0.836 0.959 0.672
Nd5 Nd 0.174 0.557 0.348
U1 U 0.500 0.000 0.000

(3)
# Nd2U2Ru3 | Alexandria via LeMat-Bulk | PBE | relaxed
# - Formation energy from the elements: -243.7 meV per atom
# - Total energy: -8.807 eV/atom
data_Nd2U2Ru3
_chemical_formula_sum 'Nd2 U2 Ru3'
_space_group_name_H-M_alt 'P 1'
_space_group_IT_number 1
_space_group_name_Hall 'P 1'
_cell_length_a 4.020
_cell_length_b 5.713
_cell_length_c 7.507
_cell_angle_alpha 86.35
_cell_angle_beta 105.67
_cell_angle_gamma 110.62
loop_
_atom_site_label
_atom_site_type_symbol
_atom_site_fract_x
_atom_site_fract_y
_atom_site_fract_z
Ru1 Ru 0.000 0.000 0.000
Ru2 Ru 0.973 0.643 0.303
Ru3 Ru 0.027 0.357 0.697
Nd1 Nd 0.295 0.211 0.379
Nd2 Nd 0.705 0.789 0.621
U1 U 0.630 0.333 0.928
U2 U 0.370 0.667 0.072

(4)
# Nd2YU2Ru5 | Alexandria via LeMat-Bulk | PBE | relaxed
# - Formation energy from the elements: -220.7 meV per atom
# - Total energy: -8.716 eV/atom
data_Nd2YU2Ru5
_chemical_formula_sum 'Nd4 Y2 U4 Ru10'
_space_group_name_H-M_alt 'P 1'
_space_group_IT_number 1
_space_group_name_Hall 'P 1'
_cell_length_a 3.540
_cell_length_b 10.896
_cell_length_c 10.896
_cell_angle_alpha 90.00
_cell_angle_beta 90.00
_cell_angle_gamma 90.00
loop_
_atom_site_label
_atom_site_type_symbol
_atom_site_fract_x
_atom_site_fract_y
_atom_site_fract_z
U1 U 0.000 0.136 0.636
U2 U 0.000 0.364 0.136
U3 U 0.000 0.636 0.864
U4 U 0.000 0.864 0.364
Ru1 Ru 0.500 0.782 0.951
Ru2 Ru 0.500 0.549 0.718
Ru3 Ru 0.500 0.049 0.782
Ru4 Ru 0.500 0.282 0.549
Ru5 Ru 0.500 0.500 0.000
Ru6 Ru 0.500 0.718 0.451
Ru7 Ru 0.500 0.951 0.218
Ru8 Ru 0.500 0.218 0.049
Ru9 Ru 0.500 0.000 0.500
Ru10 Ru 0.500 0.451 0.282
Nd1 Nd 0.000 0.176 0.324
Nd2 Nd 0.000 0.824 0.676
Nd3 Nd 0.000 0.324 0.824
Nd4 Nd 0.000 0.676 0.176
Y1 Y 0.000 0.500 0.500
Y2 Y 0.000 0.000 0.000